Compound: PrY2Rh9
Source: Alexandria via LeMat-Bulk
Functional: PBE-GGA
Structure: relaxed

POSCAR file:
```
PrY2Rh9
1.0
5.081 0.000 1.512
2.315 4.523 1.512
0.001 0.000 9.289
Pr Rh Y
1 9 2
Direct
0.000 0.000 0.000
0.083 0.583 0.751
0.417 0.917 0.249
0.667 0.667 0.999
0.583 0.583 0.751
0.333 0.333 0.001
0.917 0.417 0.249
0.583 0.083 0.751
0.417 0.417 0.249
0.500 0.500 0.500
0.139 0.139 0.582
0.861 0.861 0.418
```

Summary:
Crystal system   trigonal
Uncorrected energy   -90.5 eV/f.u.
Energy of formation   -0.549 eV/atom